# ReTcP2

A geometry-optimized ReTcP2 structure (PBE, the Alexandria database).

Values from the calculation:
formation enthalpy at 0 K: -0.2512 eV per atom
magnetization: 0.00 μB per cell
energy: -138.55 eV/cell
E above lowest polymorph: 42 meV/atom

Unit cell a=5.914 b=5.914 c=5.914 alpha=90.00 beta=90.00 gamma=90.00
Space group Fm-3m (No. 225)
One atom of each set of equivalent atoms:
Re (0.000, 0.000, 0.000)
Tc (0.000, 0.000, 0.500)
P (0.250, 0.250, 0.250)